Entry 1:
First-principles (PBE) data for GdZnGa2Pt4 after structural relaxation, as listed in OQMD.

```
GdZnGa2Pt4
1.0
-2.221 -2.932 -2.563
0.818 -3.236 2.993
-5.678 1.514 3.189
Ga Gd Pt Zn
2 1 4 1
Direct
0.000 0.000 0.000 Ga
0.500 0.500 0.500 Ga
0.000 0.000 0.500 Gd
0.500 0.000 0.222 Pt
0.000 0.500 0.222 Pt
0.500 0.000 0.778 Pt
0.000 0.500 0.778 Pt
0.500 0.500 0.000 Zn
```

Values from the calculation:
**Calculated density**: 14.116 g/cm³
**Space-group type**: P4/mmm
**DFT total energy**: -5.1937 eV/atom

Entry 2:
First-principles (PBE) data for BeCd2Ni after structural relaxation, as listed in OQMD.

```
BeCd2Ni
1.0
0.000 3.091 3.091
3.091 0.000 3.091
3.091 3.091 0.000
Be Cd Ni
1 2 1
Direct
0.500 0.500 0.500 Be
0.000 0.000 0.000 Cd
0.750 0.750 0.750 Cd
0.250 0.250 0.250 Ni
```

Values from the calculation:
**Calculated density**: 8.224 g/cm³
**Space-group type**: F-43m
**DFT total energy**: -2.5029 eV/atom

Entry 3:
First-principles (PBE) data for InSn2Hg after structural relaxation, as listed in OQMD.

```
InSn2Hg
1.0
0.000 3.768 3.768
3.768 0.000 3.768
3.768 3.768 0.000
Hg In Sn
1 1 2
Direct
0.250 0.250 0.250 Hg
0.500 0.500 0.500 In
0.000 0.000 0.000 Sn
0.750 0.750 0.750 Sn
```

Values from the calculation:
**Calculated density**: 8.576 g/cm³
**Space-group type**: F-43m
**DFT total energy**: -2.7176 eV/atom

Entry 4:
First-principles (PBE) data for LiGeAu3S4 after structural relaxation, as listed in OQMD.

```
LiGeAu3S4
1.0
5.797 0.000 0.000
0.000 5.797 0.000
0.000 0.000 5.797
Au Ge Li S
3 1 1 4
Direct
0.500 0.500 0.000 Au
0.500 0.000 0.500 Au
0.000 0.500 0.500 Au
0.500 0.500 0.500 Ge
0.000 0.000 0.000 Li
0.235 0.235 0.235 S
0.765 0.765 0.235 S
0.765 0.235 0.765 S
0.235 0.765 0.765 S
```

Values from the calculation:
**Calculated density**: 6.807 g/cm³
**Space-group type**: P-43m
**Energy above the lowest structure with this stoichiometry**: 1.14 eV/f.u.
**DFT total energy**: -3.6573 eV/atom